## P
# PmPr4Pd2 GGA-PBE relaxed
data_PmPr4Pd2
_symmetry_space_group_name_H-M 'R -3 m'
_symmetry_Int_Tables_number 166
_symmetry_space_group_name_Hall '-R 3 2"'
_cell_length_a 4.1174
_cell_length_b 4.1174
_cell_length_c 47.0000
_cell_angle_alpha 90.00
_cell_angle_beta 90.00
_cell_angle_gamma 120.00
loop_
_atom_site_label
_atom_site_fract_x
_atom_site_fract_y
_atom_site_fract_z
_atom_site_occupancy
Pm1 0.0000 0.0000 0.0000 1
Pr1 0.0000 0.0000 0.1989 1
Pr2 0.0000 0.0000 0.3951 1
Pd1 0.0000 0.0000 0.0983 1
# Crystal system ... trigonal

---

## Q
# PmPr4Pd2 GGA-PBE relaxed
data_PmPr4Pd2
_symmetry_space_group_name_H-M 'P 1 21/m 1'
_symmetry_Int_Tables_number 11
_cell_length_a 8.181
_cell_length_b 6.669
_cell_length_c 8.193
_cell_angle_alpha 90.00
_cell_angle_beta 110.41
_cell_angle_gamma 90.00
loop_
_symmetry_equiv_pos_as_xyz
'x,y,z'
'-x,-y,-z'
'-x,y+1/2,-z'
'x,-y+1/2,z'
loop_
_atom_site_label
_atom_site_fract_x
_atom_site_fract_y
_atom_site_fract_z
_atom_site_occupancy
Pm1 0.142 0.250 0.358 1
Pr1 0.051 0.750 0.075 1
Pr2 0.298 0.000 0.798 1
Pr3 0.425 0.750 0.451 1
Pd1 0.066 0.750 0.433 1
Pd2 0.359 0.250 0.140 1
# Crystal system ... monoclinic

---

Quick one: most stable of them? Q

---

## P
# Pm2PrPd2 GGA-PBE relaxed
data_Pm2PrPd2
_symmetry_space_group_name_H-M 'P 1 21/m 1'
_symmetry_Int_Tables_number 11
_cell_length_a 5.395
_cell_length_b 4.881
_cell_length_c 10.790
_cell_angle_alpha 90.00
_cell_angle_beta 96.39
_cell_angle_gamma 90.00
loop_
_symmetry_equiv_pos_as_xyz
'x,y,z'
'-x,-y,-z'
'-x,y+1/2,-z'
'x,-y+1/2,z'
loop_
_atom_site_label
_atom_site_fract_x
_atom_site_fract_y
_atom_site_fract_z
_atom_site_occupancy
Pm1 0.168 0.250 0.111 1
Pm2 0.253 0.750 0.505 1
Pr1 0.309 0.250 0.772 1
Pd1 0.221 0.250 0.374 1
Pd2 0.347 0.750 0.978 1
# Crystal system ... monoclinic

---

## Q
# Pm2PrPd2 GGA-PBE relaxed
data_Pm2PrPd2
_symmetry_space_group_name_H-M 'P 4/m b m'
_symmetry_Int_Tables_number 127
_symmetry_space_group_name_Hall '-P 4 2ab'
_cell_length_a 8.103
_cell_length_b 8.103
_cell_length_c 3.970
_cell_angle_alpha 90.00
_cell_angle_beta 90.00
_cell_angle_gamma 90.00
loop_
_atom_site_label
_atom_site_fract_x
_atom_site_fract_y
_atom_site_fract_z
_atom_site_occupancy
Pm1 0.166 0.334 0.000 1
Pr1 0.000 0.000 0.500 1
Pd1 0.126 0.626 0.500 1
# Crystal system ... tetragonal

---

Quick one: most stable of them? Q

---

## P
# PmPrPdPt GGA-PBE relaxed
data_PmPrPdPt
_symmetry_space_group_name_H-M 'F -4 3 m'
_symmetry_Int_Tables_number 216
_symmetry_space_group_name_Hall 'F -4 2 3'
_cell_length_a 7.235
_cell_length_b 7.235
_cell_length_c 7.235
_cell_angle_alpha 90.00
_cell_angle_beta 90.00
_cell_angle_gamma 90.00
loop_
_atom_site_label
_atom_site_fract_x
_atom_site_fract_y
_atom_site_fract_z
_atom_site_occupancy
Pm1 0.000 0.000 0.000 1
Pr1 0.000 0.000 0.500 1
Pd1 0.250 0.250 0.250 1
Pt1 0.250 0.250 0.750 1
# Crystal system ... cubic

---

## Q
# PmPrPdPt GGA-PBE relaxed
data_PmPrPdPt
_symmetry_space_group_name_H-M 'A m m 2'
_symmetry_Int_Tables_number 38
_cell_length_a 4.592
_cell_length_b 3.921
_cell_length_c 10.892
_cell_angle_alpha 90.00
_cell_angle_beta 90.00
_cell_angle_gamma 90.00
loop_
_symmetry_equiv_pos_as_xyz
'x,y,z'
'-x,-y,z'
'-x,y,z'
'x,-y,z'
'x,y+1/2,z+1/2'
'-x,-y+1/2,z+1/2'
'-x,y+1/2,z+1/2'
'x,-y+1/2,z+1/2'
loop_
_atom_site_label
_atom_site_fract_x
_atom_site_fract_y
_atom_site_fract_z
_atom_site_occupancy
Pm1 0.000 0.000 0.000 1
Pr1 0.500 0.000 0.726 1
Pd1 0.000 0.000 0.278 1
Pt1 0.500 0.000 0.451 1
# Crystal system ... orthorhombic

---

Quick one: most stable of them? Q

---

## P
# PmPrSiPd GGA-PBE relaxed
data_PmPrSiPd
_symmetry_space_group_name_H-M 'A m m 2'
_symmetry_Int_Tables_number 38
_cell_length_a 4.297
_cell_length_b 4.171
_cell_length_c 11.085
_cell_angle_alpha 90.00
_cell_angle_beta 90.00
_cell_angle_gamma 90.00
loop_
_symmetry_equiv_pos_as_xyz
'x,y,z'
'-x,-y,z'
'-x,y,z'
'x,-y,z'
'x,y+1/2,z+1/2'
'-x,-y+1/2,z+1/2'
'-x,y+1/2,z+1/2'
'x,-y+1/2,z+1/2'
loop_
_atom_site_label
_atom_site_fract_x
_atom_site_fract_y
_atom_site_fract_z
_atom_site_occupancy
Pm1 0.000 0.000 0.000 1
Pr1 0.500 0.000 0.279 1
Si1 0.000 0.000 0.711 1
Pd1 0.500 0.000 0.566 1
# Crystal system ... orthorhombic

---

## Q
# PmPrSiPd GGA-PBE relaxed
data_PmPrSiPd
_symmetry_space_group_name_H-M 'F -4 3 m'
_symmetry_Int_Tables_number 216
_symmetry_space_group_name_Hall 'F -4 2 3'
_cell_length_a 7.292
_cell_length_b 7.292
_cell_length_c 7.292
_cell_angle_alpha 90.00
_cell_angle_beta 90.00
_cell_angle_gamma 90.00
loop_
_atom_site_label
_atom_site_fract_x
_atom_site_fract_y
_atom_site_fract_z
_atom_site_occupancy
Pm1 0.000 0.000 0.000 1
Pr1 0.000 0.000 0.500 1
Si1 0.250 0.250 0.250 1
Pd1 0.250 0.250 0.750 1
# Crystal system ... cubic

---

Quick one: most stable of them? P

---

## P
# PmPrZnPd GGA-PBE relaxed
data_PmPrZnPd
_symmetry_space_group_name_H-M 'F -4 3 m'
_symmetry_Int_Tables_number 216
_symmetry_space_group_name_Hall 'F -4 2 3'
_cell_length_a 7.317
_cell_length_b 7.317
_cell_length_c 7.317
_cell_angle_alpha 90.00
_cell_angle_beta 90.00
_cell_angle_gamma 90.00
loop_
_atom_site_label
_atom_site_fract_x
_atom_site_fract_y
_atom_site_fract_z
_atom_site_occupancy
Pm1 0.000 0.000 0.000 1
Pr1 0.000 0.000 0.500 1
Zn1 0.250 0.250 0.750 1
Pd1 0.250 0.250 0.250 1
# Crystal system ... cubic

---

## Q
# PmPrZnPd GGA-PBE relaxed
data_PmPrZnPd
_symmetry_space_group_name_H-M 'A m m 2'
_symmetry_Int_Tables_number 38
_cell_length_a 4.588
_cell_length_b 3.957
_cell_length_c 11.147
_cell_angle_alpha 90.00
_cell_angle_beta 90.00
_cell_angle_gamma 90.00
loop_
_symmetry_equiv_pos_as_xyz
'x,y,z'
'-x,-y,z'
'-x,y,z'
'x,-y,z'
'x,y+1/2,z+1/2'
'-x,-y+1/2,z+1/2'
'-x,y+1/2,z+1/2'
'x,-y+1/2,z+1/2'
loop_
_atom_site_label
_atom_site_fract_x
_atom_site_fract_y
_atom_site_fract_z
_atom_site_occupancy
Pm1 0.000 0.000 0.000 1
Pr1 0.500 0.000 0.718 1
Zn1 0.000 0.000 0.286 1
Pd1 0.500 0.000 0.430 1
# Crystal system ... orthorhombic

---

Quick one: most stable of them? Q

---

## P
# Pm5Pd2Pt2 GGA-PBE relaxed
data_Pm5Pd2Pt2
_symmetry_space_group_name_H-M 'C m c e'
_symmetry_Int_Tables_number 64
_symmetry_space_group_name_Hall '-C 2ac 2'
_cell_length_a 15.086
_cell_length_b 7.786
_cell_length_c 7.801
_cell_angle_alpha 90.00
_cell_angle_beta 90.00
_cell_angle_gamma 90.00
loop_
_atom_site_label
_atom_site_fract_x
_atom_site_fract_y
_atom_site_fract_z
_atom_site_occupancy
Pm1 0.000 0.000 0.000 1
Pm2 0.141 0.174 0.337 1
Pd1 0.000 0.126 0.626 1
Pt1 0.199 0.000 0.000 1
# Crystal system ... orthorhombic

---

## Q
# Pm5Pd2Pt2 GGA-PBE relaxed
data_Pm5Pd2Pt2
_symmetry_space_group_name_H-M 'I m a 2'
_symmetry_Int_Tables_number 46
_cell_length_a 17.533
_cell_length_b 7.195
_cell_length_c 7.502
_cell_angle_alpha 90.00
_cell_angle_beta 90.00
_cell_angle_gamma 90.00
loop_
_symmetry_equiv_pos_as_xyz
'x,y,z'
'-x,-y,z'
'-x+1/2,y,z'
'x+1/2,-y,z'
'x+1/2,y+1/2,z+1/2'
'-x+1/2,-y+1/2,z+1/2'
'-x,y+1/2,z+1/2'
'x,-y+1/2,z+1/2'
loop_
_atom_site_label
_atom_site_fract_x
_atom_site_fract_y
_atom_site_fract_z
_atom_site_occupancy
Pm1 0.072 0.177 0.000 1
Pm2 0.151 0.680 0.142 1
Pm3 0.250 0.128 0.285 1
Pd1 0.076 0.538 0.832 1
Pt1 0.000 0.000 0.692 1
Pt2 0.250 0.521 0.428 1
# Crystal system ... orthorhombic

---

Quick one: most stable of them? P

---

## P
# Pm6PdPt5 GGA-PBE relaxed
data_Pm6PdPt5
_symmetry_space_group_name_H-M 'C 1 2/m 1'
_symmetry_Int_Tables_number 12
_cell_length_a 7.214
_cell_length_b 12.507
_cell_length_c 7.243
_cell_angle_alpha 90.00
_cell_angle_beta 109.47
_cell_angle_gamma 90.00
loop_
_symmetry_equiv_pos_as_xyz
'x,y,z'
'-x,-y,-z'
'-x,y,-z'
'x,-y,z'
'x+1/2,y+1/2,z'
'-x+1/2,-y+1/2,-z'
'-x+1/2,y+1/2,-z'
'x+1/2,-y+1/2,z'
loop_
_atom_site_label
_atom_site_fract_x
_atom_site_fract_y
_atom_site_fract_z
_atom_site_occupancy
Pm1 0.246 0.000 0.251 1
Pm2 0.247 0.169 0.747 1
Pd1 0.000 0.500 0.000 1
Pt1 0.000 0.000 0.500 1
Pt2 0.000 0.167 0.000 1
Pt3 0.000 0.335 0.500 1
# Crystal system ... monoclinic

---

## Q
# Pm6PdPt5 GGA-PBE relaxed
data_Pm6PdPt5
_symmetry_space_group_name_H-M 'C 1 2/m 1'
_symmetry_Int_Tables_number 12
_cell_length_a 16.078
_cell_length_b 7.115
_cell_length_c 5.090
_cell_angle_alpha 90.00
_cell_angle_beta 108.11
_cell_angle_gamma 90.00
loop_
_symmetry_equiv_pos_as_xyz
'x,y,z'
'-x,-y,-z'
'-x,y,-z'
'x,-y,z'
'x+1/2,y+1/2,z'
'-x+1/2,-y+1/2,-z'
'-x+1/2,y+1/2,-z'
'x+1/2,-y+1/2,z'
loop_
_atom_site_label
_atom_site_fract_x
_atom_site_fract_y
_atom_site_fract_z
_atom_site_occupancy
Pm1 0.000 0.247 0.000 1
Pm2 0.168 0.248 0.668 1
Pd1 0.000 0.500 0.500 1
Pt1 0.000 0.000 0.500 1
Pt2 0.161 0.500 0.162 1
Pt3 0.169 0.000 0.170 1
# Crystal system ... monoclinic

---

Quick one: most stable of them? Q

---

## P
# Pm8Pd2Pt GGA-PBE relaxed
data_Pm8Pd2Pt
_symmetry_space_group_name_H-M 'C 1 m 1'
_symmetry_Int_Tables_number 8
_cell_length_a 8.538
_cell_length_b 13.130
_cell_length_c 6.274
_cell_angle_alpha 90.00
_cell_angle_beta 110.51
_cell_angle_gamma 90.00
loop_
_symmetry_equiv_pos_as_xyz
'x,y,z'
'x,-y,z'
'x+1/2,y+1/2,z'
'x+1/2,-y+1/2,z'
loop_
_atom_site_label
_atom_site_fract_x
_atom_site_fract_y
_atom_site_fract_z
_atom_site_occupancy
Pm1 0.000 0.000 0.000 1
Pm2 0.073 0.370 0.786 1
Pm3 0.139 0.130 0.553 1
Pm4 0.217 0.500 0.361 1
Pm5 0.355 0.205 0.176 1
Pd1 0.360 0.311 0.683 1
Pt1 0.367 0.000 0.379 1
# Crystal system ... monoclinic

---

## Q
# Pm8Pd2Pt GGA-PBE relaxed
data_Pm8Pd2Pt
_symmetry_space_group_name_H-M 'C 1 2/m 1'
_symmetry_Int_Tables_number 12
_cell_length_a 18.405
_cell_length_b 5.214
_cell_length_c 6.809
_cell_angle_alpha 90.00
_cell_angle_beta 107.51
_cell_angle_gamma 90.00
loop_
_symmetry_equiv_pos_as_xyz
'x,y,z'
'-x,-y,-z'
'-x,y,-z'
'x,-y,z'
'x+1/2,y+1/2,z'
'-x+1/2,-y+1/2,-z'
'-x+1/2,y+1/2,-z'
'x+1/2,-y+1/2,z'
loop_
_atom_site_label
_atom_site_fract_x
_atom_site_fract_y
_atom_site_fract_z
_atom_site_occupancy
Pm1 0.029 0.000 0.292 1
Pm2 0.091 0.500 0.959 1
Pm3 0.171 0.500 0.502 1
Pm4 0.203 0.000 0.843 1
Pd1 0.174 0.000 0.240 1
Pt1 0.000 0.500 0.500 1
# Crystal system ... monoclinic

---

Quick one: most stable of them? Q

---

## P
# Pm6Pd5Pt GGA-PBE relaxed
data_Pm6Pd5Pt
_symmetry_space_group_name_H-M 'C 1 2/m 1'
_symmetry_Int_Tables_number 12
_cell_length_a 7.256
_cell_length_b 12.568
_cell_length_c 7.219
_cell_angle_alpha 90.00
_cell_angle_beta 109.64
_cell_angle_gamma 90.00
loop_
_symmetry_equiv_pos_as_xyz
'x,y,z'
'-x,-y,-z'
'-x,y,-z'
'x,-y,z'
'x+1/2,y+1/2,z'
'-x+1/2,-y+1/2,-z'
'-x+1/2,y+1/2,-z'
'x+1/2,-y+1/2,z'
loop_
_atom_site_label
_atom_site_fract_x
_atom_site_fract_y
_atom_site_fract_z
_atom_site_occupancy
Pm1 0.247 0.000 0.251 1
Pm2 0.247 0.165 0.748 1
Pd1 0.000 0.168 0.000 1
Pd2 0.000 0.334 0.500 1
Pd3 0.000 0.500 0.000 1
Pt1 0.000 0.000 0.500 1
# Crystal system ... monoclinic

---

## Q
# Pm6Pd5Pt GGA-PBE relaxed
data_Pm6Pd5Pt
_symmetry_space_group_name_H-M 'C 1 2/m 1'
_symmetry_Int_Tables_number 12
_cell_length_a 16.190
_cell_length_b 7.075
_cell_length_c 5.126
_cell_angle_alpha 90.00
_cell_angle_beta 108.10
_cell_angle_gamma 90.00
loop_
_symmetry_equiv_pos_as_xyz
'x,y,z'
'-x,-y,-z'
'-x,y,-z'
'x,-y,z'
'x+1/2,y+1/2,z'
'-x+1/2,-y+1/2,-z'
'-x+1/2,y+1/2,-z'
'x+1/2,-y+1/2,z'
loop_
_atom_site_label
_atom_site_fract_x
_atom_site_fract_y
_atom_site_fract_z
_atom_site_occupancy
Pm1 0.000 0.247 0.000 1
Pm2 0.165 0.249 0.665 1
Pd1 0.000 0.500 0.500 1
Pd2 0.166 0.500 0.166 1
Pd3 0.170 0.000 0.170 1
Pt1 0.000 0.000 0.500 1
# Crystal system ... monoclinic

---

Quick one: most stable of them? Q

---

## P
# Pm2Pd3Pt GGA-PBE relaxed
data_Pm2Pd3Pt
_symmetry_space_group_name_H-M 'P m m 2'
_symmetry_Int_Tables_number 25
_cell_length_a 3.657
_cell_length_b 4.680
_cell_length_c 7.596
_cell_angle_alpha 90.00
_cell_angle_beta 90.00
_cell_angle_gamma 90.00
loop_
_symmetry_equiv_pos_as_xyz
'x,y,z'
'-x,-y,z'
'-x,y,z'
'x,-y,z'
loop_
_atom_site_label
_atom_site_fract_x
_atom_site_fract_y
_atom_site_fract_z
_atom_site_occupancy
Pm1 0.000 0.000 0.000 1
Pm2 0.000 0.500 0.488 1
Pd1 0.500 0.000 0.667 1
Pd2 0.500 0.500 0.163 1
Pd3 0.500 0.500 0.817 1
Pt1 0.500 0.000 0.323 1
# Crystal system ... orthorhombic

---

## Q
# Pm2Pd3Pt GGA-PBE relaxed
data_Pm2Pd3Pt
_symmetry_space_group_name_H-M 'I m m m'
_symmetry_Int_Tables_number 71
_symmetry_space_group_name_Hall '-I 2 2'
_cell_length_a 4.997
_cell_length_b 5.570
_cell_length_c 9.229
_cell_angle_alpha 90.00
_cell_angle_beta 90.00
_cell_angle_gamma 90.00
loop_
_atom_site_label
_atom_site_fract_x
_atom_site_fract_y
_atom_site_fract_z
_atom_site_occupancy
Pm1 0.000 0.000 0.193 1
Pd1 0.000 0.500 0.143 1
Pd2 0.000 0.500 0.500 1
Pt1 0.000 0.000 0.500 1
# Crystal system ... orthorhombic

---

Quick one: most stable of them? P

---

## P
# Pm3PdPt2 GGA-PBE relaxed
data_Pm3PdPt2
_symmetry_space_group_name_H-M 'P 4/m m m'
_symmetry_Int_Tables_number 123
_symmetry_space_group_name_Hall '-P 4 2'
_cell_length_a 3.593
_cell_length_b 3.593
_cell_length_c 10.747
_cell_angle_alpha 90.00
_cell_angle_beta 90.00
_cell_angle_gamma 90.00
loop_
_atom_site_label
_atom_site_fract_x
_atom_site_fract_y
_atom_site_fract_z
_atom_site_occupancy
Pm1 0.000 0.000 0.000 1
Pm2 0.000 0.000 0.330 1
Pd1 0.500 0.500 0.500 1
Pt1 0.500 0.500 0.168 1
# Crystal system ... tetragonal

---

## Q
# Pm3PdPt2 GGA-PBE relaxed
data_Pm3PdPt2
_symmetry_space_group_name_H-M 'C 1 2/m 1'
_symmetry_Int_Tables_number 12
_cell_length_a 16.631
_cell_length_b 4.577
_cell_length_c 3.849
_cell_angle_alpha 90.00
_cell_angle_beta 103.33
_cell_angle_gamma 90.00
loop_
_symmetry_equiv_pos_as_xyz
'x,y,z'
'-x,-y,-z'
'-x,y,-z'
'x,-y,z'
'x+1/2,y+1/2,z'
'-x+1/2,-y+1/2,-z'
'-x+1/2,y+1/2,-z'
'x+1/2,-y+1/2,z'
loop_
_atom_site_label
_atom_site_fract_x
_atom_site_fract_y
_atom_site_fract_z
_atom_site_occupancy
Pm1 0.000 0.000 0.000 1
Pm2 0.176 0.500 0.176 1
Pd1 0.000 0.500 0.500 1
Pt1 0.142 0.000 0.642 1
# Crystal system ... monoclinic

---

Quick one: most stable of them? Q